(1)
The following is a DFT calculation (GGA-PBE) of a relaxed structure of AgBi2S3Cl.

Cell lengths 7.902, 4.039, 10.830 Å; angles 90.00, 102.73, 90.00 degrees
Fractional coordinates of all 14 atoms:
Ag1 0.061 0.250 0.407
Ag2 0.939 0.750 0.593
Bi1 0.188 0.250 0.929
Bi2 0.455 0.750 0.653
Bi3 0.545 0.250 0.347
Bi4 0.812 0.750 0.071
S1 0.037 0.250 0.146
S2 0.199 0.250 0.661
S3 0.320 0.750 0.411
S4 0.680 0.250 0.589
S5 0.801 0.750 0.339
S6 0.963 0.750 0.854
Cl1 0.404 0.750 0.101
Cl2 0.596 0.250 0.899

The formation energy from raw total energies is -409 meV per atom. The total magnetic moment is 0.0 μB per formula unit. The energy comes out at -3.958 eV per atom.

=====

(2)
The following is a DFT calculation (GGA-PBE) of a relaxed structure of FeAgGe2W.

Cell lengths 4.851, 4.851, 5.199 Å; angles 90.00, 90.00, 90.00 degrees
Fractional coordinates of all 5 atoms:
Fe1 0.000 0.000 0.000
Ag1 0.500 0.500 0.000
Ge1 0.000 0.500 0.500
Ge2 0.500 0.000 0.500
W1 0.500 0.500 0.500

The total magnetic moment is 3.6 μB per formula unit. The energy relative to the elements comes out at 1.301 eV/atom. The energy comes out at -5.400 eV per atom. Its density of states at the Fermi level is 1.505 states/eV/atom.

=====

(3)
The following is a DFT calculation (GGA-PBE) of a relaxed structure of AlFeSi4.

Cell lengths 4.952, 4.952, 4.952 Å; angles 60.00, 60.00, 60.00 degrees
Fractional coordinates of all 6 atoms:
Al1 0.000 0.000 0.000
Fe1 0.750 0.750 0.750
Si1 0.375 0.375 0.375
Si2 0.375 0.375 0.874
Si3 0.375 0.874 0.375
Si4 0.874 0.375 0.375

The formation energy from raw total energies is 475 meV per atom. The total magnetic moment is 2.5 μB per formula unit. The energy comes out at -5.175 eV per atom. Its density of states at the Fermi level is 0.725 states/eV/atom.

=====

(4)
The following is a DFT calculation (GGA-PBE) of a relaxed structure of MgAl2As.

Cell lengths 4.904, 4.904, 3.347 Å; angles 90.00, 90.00, 111.48 degrees
Fractional coordinates of all 4 atoms:
Mg1 0.000 0.000 0.000
Al1 0.000 0.500 0.500
Al2 0.500 0.000 0.500
As1 0.500 0.500 0.000

The value obtained for the energy relative to the lowest polymorph listed for this composition is 10.2 kJ/mol of atoms. The total magnetic moment is 0.0 μB per formula unit. The energy relative to the elements comes out at 0.036 eV/atom. The energy comes out at -3.396 eV per atom. Its density of states at the Fermi level is 0.416 states/eV/atom.

=====

(5)
The following is a DFT calculation (GGA-PBE) of a relaxed structure of La2YGa2.

Cell lengths 8.019, 8.019, 4.726 Å; angles 90.00, 90.00, 90.00 degrees
Fractional coordinates of all 10 atoms:
La1 0.172 0.328 0.000
La2 0.328 0.828 0.000
La3 0.672 0.172 0.000
La4 0.828 0.672 0.000
Y1 0.000 0.000 0.500
Y2 0.500 0.500 0.500
Ga1 0.120 0.620 0.500
Ga2 0.380 0.120 0.500
Ga3 0.620 0.880 0.500
Ga4 0.880 0.380 0.500

The value obtained for the energy relative to the lowest polymorph listed for this composition is 0.0 kJ/mol of atoms. The total magnetic moment is 0.0 μB per formula unit. The energy relative to the elements comes out at -0.494 eV/atom. The energy comes out at -4.968 eV per atom. Its density of states at the Fermi level is 1.748 states/eV/atom.

=====

(6)
The following is a DFT calculation (GGA-PBE) of a relaxed structure of LiSnHRh2.

Cell lengths 4.908, 4.908, 5.178 Å; angles 90.00, 90.00, 90.00 degrees
Fractional coordinates of all 5 atoms:
Li1 0.000 0.000 0.000
Sn1 0.000 0.000 0.500
H1 0.500 0.500 0.000
Rh1 0.000 0.500 0.500
Rh2 0.500 0.000 0.500

The value obtained for the energy relative to the lowest polymorph listed for this composition is 165.9 kJ/mol of atoms. The total magnetic moment is 0.2 μB per formula unit. The energy comes out at -3.552 eV per atom. Its density of states at the Fermi level is 0.942 states/eV/atom.

=====

(7)
The following is a DFT calculation (GGA-PBE) of a relaxed structure of K2Li2Ti.

Cell lengths 12.778, 12.778, 12.778 Å; angles 163.36, 163.36, 23.61 degrees
Fractional coordinates of all 5 atoms:
K1 0.115 0.115 0.000
K2 0.885 0.885 0.000
Li1 0.250 0.750 0.500
Li2 0.750 0.250 0.500
Ti1 0.500 0.500 0.000

The value obtained for the energy relative to the lowest polymorph listed for this composition is 0.0 kJ/mol of atoms. The total magnetic moment is 3.1 μB per formula unit. The energy relative to the elements comes out at 0.668 eV/atom. The energy comes out at -2.116 eV per atom. Its density of states at the Fermi level is 1.053 states/eV/atom.

=====

(8)
The following is a DFT calculation (GGA-PBE) of a relaxed structure of Tl2HgSbRu.

Cell lengths 5.990, 5.990, 4.984 Å; angles 90.00, 90.00, 90.00 degrees
Fractional coordinates of all 5 atoms:
Tl1 0.000 0.500 0.000
Tl2 0.500 0.000 0.000
Hg1 0.000 0.000 0.500
Sb1 0.500 0.500 0.000
Ru1 0.500 0.500 0.500

The formation energy from raw total energies is 760 meV per atom. The total magnetic moment is 1.4 μB per formula unit. The energy comes out at -2.926 eV per atom. Its density of states at the Fermi level is 0.778 states/eV/atom.

=====

(9)
The following is a DFT calculation (GGA-PBE) of a relaxed structure of DyTa2Pd9.

Cell lengths 4.013, 4.013, 12.103 Å; angles 90.00, 90.00, 90.00 degrees
Fractional coordinates of all 12 atoms:
Dy1 0.000 0.000 0.000
Ta1 0.000 0.000 0.333
Ta2 0.000 0.000 0.667
Pd1 0.000 0.500 0.179
Pd2 0.000 0.500 0.500
Pd3 0.000 0.500 0.821
Pd4 0.500 0.000 0.179
Pd5 0.500 0.000 0.500
Pd6 0.500 0.000 0.821
Pd7 0.500 0.500 0.000
Pd8 0.500 0.500 0.340
Pd9 0.500 0.500 0.660

The total magnetic moment is 0.0 μB per formula unit. The energy relative to the elements comes out at -0.552 eV/atom. The energy comes out at -6.806 eV per atom. Its density of states at the Fermi level is 0.775 states/eV/atom.

=====

(10)
The following is a DFT calculation (GGA-PBE) of a relaxed structure of TlZnSi2.

Cell lengths 3.195, 3.473, 7.325 Å; angles 90.00, 101.80, 90.00 degrees
Fractional coordinates of all 4 atoms:
Tl1 0.000 0.000 0.000
Zn1 0.646 0.500 0.283
Si1 0.255 0.000 0.506
Si2 0.822 0.500 0.643

The formation energy from raw total energies is 348 meV per atom. The value obtained for the energy relative to the lowest polymorph listed for this composition is 8.3 kJ/mol of atoms. The total magnetic moment is 0.0 μB per formula unit. The energy comes out at -3.274 eV per atom. Its density of states at the Fermi level is 0.319 states/eV/atom.

=====

(11)
The following is a DFT calculation (GGA-PBE) of a relaxed structure of ReNiW2.

Cell lengths 9.206, 9.206, 9.206 Å; angles 17.20, 17.20, 17.20 degrees
Fractional coordinates of all 4 atoms:
Re1 0.000 0.000 0.000
Ni1 0.500 0.500 0.500
W1 0.246 0.246 0.246
W2 0.754 0.754 0.754

The value obtained for the energy relative to the lowest polymorph listed for this composition is 22.0 kJ/mol of atoms. The total magnetic moment is 0.0 μB per formula unit. The energy relative to the elements comes out at 0.284 eV/atom. The energy comes out at -10.750 eV per atom. Its density of states at the Fermi level is 1.465 states/eV/atom.

=====

(12)
The following is a DFT calculation (GGA-PBE) of a relaxed structure of Nd2SmPaSe4.

Cell lengths 7.242, 4.148, 7.245 Å; angles 90.00, 109.08, 90.00 degrees
Fractional coordinates of all 8 atoms:
Nd1 0.000 0.000 0.000
Nd2 0.500 0.500 0.000
Sm1 0.000 0.500 0.500
Pa1 0.500 0.000 0.500
Se1 0.251 0.000 0.743
Se2 0.255 0.500 0.258
Se3 0.745 0.500 0.742
Se4 0.749 0.000 0.257

The formation energy from raw total energies is -1656 meV per atom. The total magnetic moment is 0.8 μB per formula unit. The energy comes out at -6.367 eV per atom. Its density of states at the Fermi level is 0.914 states/eV/atom.

=====

(13)
The following is a DFT calculation (GGA-PBE) of a relaxed structure of KTl3I8.

Cell lengths 7.770, 7.770, 11.284 Å; angles 90.09, 90.09, 70.92 degrees
Fractional coordinates of all 12 atoms:
K1 0.000 0.000 0.000
Tl1 0.000 0.000 0.500
Tl2 0.389 0.389 0.248
Tl3 0.611 0.611 0.752
I1 0.220 0.730 0.745
I2 0.270 0.780 0.255
I3 0.274 0.274 0.461
I4 0.287 0.287 0.027
I5 0.713 0.713 0.973
I6 0.726 0.726 0.539
I7 0.730 0.220 0.745
I8 0.780 0.270 0.255

The formation energy from raw total energies is -529 meV per atom. The total magnetic moment is 0.0 μB per formula unit. The energy comes out at -2.245 eV per atom.

=====

(14)
The following is a DFT calculation (GGA-PBE) of a relaxed structure of Zr4Al3Tc.

Cell lengths 3.226, 3.226, 14.809 Å; angles 90.00, 90.00, 90.00 degrees
Fractional coordinates of all 8 atoms:
Zr1 0.000 0.000 0.108
Zr2 0.000 0.000 0.367
Zr3 0.000 0.000 0.633
Zr4 0.000 0.000 0.892
Al1 0.500 0.500 0.239
Al2 0.500 0.500 0.500
Al3 0.500 0.500 0.761
Tc1 0.500 0.500 0.000

The total magnetic moment is 0.0 μB per formula unit. The energy relative to the elements comes out at -0.390 eV/atom. The energy comes out at -7.363 eV per atom. Its density of states at the Fermi level is 0.783 states/eV/atom.

=====

(15)
The following is a DFT calculation (GGA-PBE) of a relaxed structure of Pm2PrNd.

Cell lengths 12.186, 12.186, 12.186 Å; angles 17.35, 17.35, 17.35 degrees
Fractional coordinates of all 4 atoms:
Pm1 0.250 0.250 0.250
Pm2 0.750 0.750 0.750
Pr1 0.500 0.500 0.500
Nd1 0.000 0.000 0.000

The value obtained for the energy relative to the lowest polymorph listed for this composition is 0.4 kJ/mol of atoms. The total magnetic moment is 0.0 μB per formula unit. The energy relative to the elements comes out at 0.011 eV/atom. The energy comes out at -4.751 eV per atom. Its density of states at the Fermi level is 1.443 states/eV/atom.

=====

(16)
The following is a DFT calculation (GGA-PBE) of a relaxed structure of Zr5Be3.

Cell lengths 7.403, 7.403, 5.551 Å; angles 103.25, 103.25, 86.26 degrees
Fractional coordinates of all 16 atoms:
Zr1 0.007 0.993 0.750
Zr2 0.172 0.622 0.445
Zr3 0.231 0.355 0.883
Zr4 0.355 0.231 0.383
Zr5 0.378 0.828 0.055
Zr6 0.622 0.172 0.945
Zr7 0.645 0.769 0.617
Zr8 0.769 0.645 0.117
Zr9 0.828 0.378 0.555
Zr10 0.993 0.007 0.250
Be1 0.035 0.668 0.892
Be2 0.332 0.965 0.608
Be3 0.499 0.501 0.250
Be4 0.501 0.499 0.750
Be5 0.668 0.035 0.392
Be6 0.965 0.332 0.108

The value obtained for the energy relative to the lowest polymorph listed for this composition is 0.0 kJ/mol of atoms. The total magnetic moment is 0.0 μB per formula unit. The energy relative to the elements comes out at -0.018 eV/atom. The energy comes out at -6.758 eV per atom. Its density of states at the Fermi level is 1.136 states/eV/atom.

=====

(17)
The following is a DFT calculation (GGA-PBE) of a relaxed structure of AcEu2In.

Cell lengths 3.967, 3.967, 9.383 Å; angles 90.00, 90.00, 90.00 degrees
Fractional coordinates of all 4 atoms:
Ac1 0.000 0.000 0.000
Eu1 0.500 0.500 0.298
Eu2 0.500 0.500 0.702
In1 0.000 0.000 0.500

The value obtained for the energy relative to the lowest polymorph listed for this composition is 0.5 kJ/mol of atoms. The total magnetic moment is 14.7 μB per formula unit. The energy relative to the elements comes out at -0.203 eV/atom. The energy comes out at -7.052 eV per atom. Its density of states at the Fermi level is 2.427 states/eV/atom.

=====

(18)
The following is a DFT calculation (GGA-PBE) of a relaxed structure of Cr4Hg3.

Cell lengths 12.757, 12.757, 12.757 Å; angles 166.13, 166.13, 19.67 degrees
Fractional coordinates of all 7 atoms:
Cr1 0.077 0.077 0.000
Cr2 0.377 0.377 0.000
Cr3 0.623 0.623 0.000
Cr4 0.923 0.923 0.000
Hg1 0.202 0.202 0.000
Hg2 0.500 0.500 0.000
Hg3 0.798 0.798 0.000

The total magnetic moment is 0.2 μB per formula unit. The energy relative to the elements comes out at 0.354 eV/atom. The energy comes out at -5.274 eV per atom. Its density of states at the Fermi level is 0.509 states/eV/atom.

=====

(19)
The following is a DFT calculation (GGA-PBE) of a relaxed structure of LaIrN2.

Cell lengths 4.223, 4.223, 4.223 Å; angles 60.00, 60.00, 60.00 degrees
Fractional coordinates of all 4 atoms:
La1 0.000 0.000 0.000
Ir1 0.500 0.500 0.500
N1 0.250 0.250 0.250
N2 0.750 0.750 0.750

The formation energy from raw total energies is 363 meV per atom. The value obtained for the energy relative to the lowest polymorph listed for this composition is 67.1 kJ/mol of atoms. The total magnetic moment is 0.0 μB per formula unit. The energy comes out at -7.247 eV per atom. Its density of states at the Fermi level is 0.764 states/eV/atom.

=====

(20)
The following is a DFT calculation (GGA-PBE) of a relaxed structure of Y2In2Hg.

Cell lengths 6.147, 6.147, 10.986 Å; angles 113.46, 113.46, 45.04 degrees
Fractional coordinates of all 10 atoms:
Y1 0.006 0.006 0.324
Y2 0.177 0.177 0.099
Y3 0.823 0.823 0.901
Y4 0.994 0.994 0.676
In1 0.358 0.358 0.442
In2 0.459 0.459 0.110
In3 0.541 0.541 0.890
In4 0.642 0.642 0.558
Hg1 0.281 0.281 0.679
Hg2 0.719 0.719 0.321

The value obtained for the energy relative to the lowest polymorph listed for this composition is 1.1 kJ/mol of atoms. The total magnetic moment is 0.0 μB per formula unit. The energy relative to the elements comes out at -0.446 eV/atom. The energy comes out at -4.188 eV per atom. Its density of states at the Fermi level is 0.763 states/eV/atom.